*A*
Material: Ta2Be
Method: DFT, PBE
State: relaxed

a = 6.2401 Å, b = 6.2401 Å, c = 6.2401 Å
α = 154.24°, β = 154.24°, γ = 36.74°
Element x y z (fractional)
Be 0.0000 0.0000 0.0000
Ta 0.6457 0.6457 0.0000
Ta 0.3543 0.3543 0.0000



*B*
Material: Ta2Be
Method: DFT, PBE
State: relaxed

a = 5.4188 Å, b = 5.4188 Å, c = 8.6351 Å
α = 90.00°, β = 90.00°, γ = 120.00°
Element x y z (fractional)
Be 0.3333 0.6667 0.1101
Be 0.6667 0.3333 0.6101
Be 0.6667 0.3333 0.8899
Be 0.3333 0.6667 0.3899
Ta 0.0000 0.0000 0.0000
Ta 0.0000 0.0000 0.5000
Ta 0.8314 0.6628 0.2500
Ta 0.1686 0.3372 0.7500
Ta 0.3372 0.1686 0.2500
Ta 0.8314 0.1686 0.2500
Ta 0.1686 0.8314 0.7500
Ta 0.6628 0.8314 0.7500



*C*
Material: Ta2Be
Method: DFT, PBE
State: relaxed

a = 3.4592 Å, b = 6.5304 Å, c = 8.0308 Å
α = 90.00°, β = 90.00°, γ = 90.00°
Element x y z (fractional)
Be 0.2500 0.7458 0.3656
Be 0.7500 0.7542 0.8656
Be 0.2500 0.2458 0.1344
Be 0.7500 0.2542 0.6344
Ta 0.2500 0.0429 0.8341
Ta 0.7500 0.4571 0.3341
Ta 0.2500 0.5429 0.6659
Ta 0.7500 0.9571 0.1659
Ta 0.2500 0.1390 0.4312
Ta 0.7500 0.3610 0.9312
Ta 0.2500 0.6390 0.0688
Ta 0.7500 0.8610 0.5688



*D*
Material: Ta2Be
Method: DFT, PBE
State: relaxed

a = 4.0401 Å, b = 4.0401 Å, c = 2.9978 Å
α = 90.00°, β = 90.00°, γ = 90.00°
Element x y z (fractional)
Be 0.0000 0.0000 0.0000
Ta 0.0000 0.5000 0.5000
Ta 0.5000 0.0000 0.5000



Most stable: *C*. Least stable: *B*.



*A*
Material: Ta2Be
Method: DFT, PBE
State: relaxed

a = 4.9887 Å, b = 4.9887 Å, c = 7.3661 Å
α = 67.85°, β = 67.85°, γ = 32.97°
Element x y z (fractional)
Ta 0.0217 0.0217 0.7983
Ta 0.6561 0.6561 0.3897
Ta 0.9783 0.9783 0.2017
Ta 0.3439 0.3439 0.6103
Be 0.3006 0.3006 0.0671
Be 0.6994 0.6994 0.9329



*B*
Material: Ta2Be
Method: DFT, PBE
State: relaxed

a = 4.4660 Å, b = 4.4660 Å, c = 5.2944 Å
α = 90.00°, β = 90.00°, γ = 120.00°
Element x y z (fractional)
Ta 0.0000 0.0000 0.0000
Ta 0.0000 0.0000 0.5000
Ta 0.3333 0.6667 0.2500
Ta 0.6667 0.3333 0.7500
Be 0.6667 0.3333 0.2500
Be 0.3333 0.6667 0.7500



Most stable: *B*. Least stable: *A*.



*A*
Material: Ta5Be
Method: DFT, PBE
State: relaxed

a = 5.3990 Å, b = 5.3990 Å, c = 6.1098 Å
α = 73.97°, β = 73.97°, γ = 36.81°
Element x y z (fractional)
Ta 0.3371 0.3371 0.3194
Ta 0.6629 0.6629 0.6806
Ta 0.6563 0.6563 0.1590
Ta 0.0000 0.0000 0.5000
Ta 0.3437 0.3437 0.8410
Be 0.0000 0.0000 0.0000



*B*
Material: Ta5Be
Method: DFT, PBE
State: relaxed

a = 3.4536 Å, b = 4.4112 Å, c = 7.0497 Å
α = 108.23°, β = 90.00°, γ = 90.00°
Element x y z (fractional)
Be 0.0000 0.0000 0.0000
Ta 0.0000 0.6628 0.3255
Ta 0.0000 0.3372 0.6745
Ta 0.5000 0.5000 0.0000
Ta 0.5000 0.1568 0.3136
Ta 0.5000 0.8432 0.6864



Most stable: *A*. Least stable: *B*.



*A*
Material: Ta4Be5
Method: DFT, PBE
State: relaxed

a = 7.3174 Å, b = 7.3174 Å, c = 5.0448 Å
α = 90.00°, β = 90.00°, γ = 120.00°
Element x y z (fractional)
Be 0.0000 0.6904 0.2500
Be 0.3096 0.3096 0.2500
Be 0.6904 0.0000 0.2500
Be 0.0000 0.3096 0.7500
Be 0.6904 0.6904 0.7500
Be 0.3096 0.0000 0.7500
Be 0.6667 0.3333 0.0000
Be 0.3333 0.6667 0.5000
Be 0.3333 0.6667 0.0000
Be 0.6667 0.3333 0.5000
Ta 0.0000 0.0000 0.0000
Ta 0.0000 0.0000 0.5000
Ta 0.0000 0.3632 0.2500
Ta 0.6368 0.6368 0.2500
Ta 0.3632 0.0000 0.2500
Ta 0.0000 0.6368 0.7500
Ta 0.3632 0.3632 0.7500
Ta 0.6368 0.0000 0.7500



*B*
Material: Ta4Be5
Method: DFT, PBE
State: relaxed

a = 6.0166 Å, b = 6.0166 Å, c = 6.0166 Å
α = 95.12°, β = 95.12°, γ = 145.22°
Element x y z (fractional)
Ta 0.6918 0.0000 0.6918
Ta 0.3082 0.0000 0.3082
Ta 0.0000 0.3082 0.3082
Ta 0.0000 0.6918 0.6918
Be 0.0000 0.0000 0.0000
Be 0.6547 0.3453 0.0000
Be 0.3453 0.6547 0.0000
Be 0.3453 0.3453 0.6906
Be 0.6547 0.6547 0.3094



Most stable: *A*. Least stable: *B*.



*A*
Material: TaBeTc3
Method: DFT, PBE
State: relaxed

a = 4.7175 Å, b = 4.7175 Å, c = 4.7175 Å
α = 90.00°, β = 90.00°, γ = 90.00°
Each line ends with the local moment (μB).
Element x y z (fractional)
Be 0.5000 0.5000 0.5000  -0.05
Tc 0.0000 0.5000 0.0000  0.88
Tc 0.0000 0.0000 0.5000  0.82
Tc 0.5000 0.0000 0.0000  0.94
Ta 0.0000 0.0000 0.0000  -0.10



*B*
Material: TaBeTc3
Method: DFT, PBE
State: relaxed

a = 4.1660 Å, b = 4.1660 Å, c = 4.1660 Å
α = 90.00°, β = 90.00°, γ = 90.00°
Element x y z (fractional)
Be 0.0000 0.0000 0.0000
Tc 0.0000 0.5000 0.0000
Tc 0.0000 0.0000 0.5000
Tc 0.5000 0.0000 0.0000
Ta 0.5000 0.5000 0.5000



Most stable: *B*. Least stable: *A*.



*A*
Material: Ta2BeTe
Method: DFT, PBE
State: relaxed

a = 3.5324 Å, b = 3.3094 Å, c = 6.3604 Å
α = 68.34°, β = 90.00°, γ = 90.00°
Element x y z (fractional)
Be 0.5000 0.7500 0.7500
Te 0.5000 0.2500 0.2500
Ta 0.0000 0.9768 0.9641
Ta 0.0000 0.5232 0.5359



*B*
Material: Ta2BeTe
Method: DFT, PBE
State: relaxed

a = 3.4302 Å, b = 3.4302 Å, c = 5.9453 Å
α = 90.00°, β = 90.00°, γ = 90.00°
Element x y z (fractional)
Be 0.5000 0.5000 0.7984
Te 0.0000 0.0000 0.4993
Ta 0.0000 0.0000 0.9731
Ta 0.5000 0.5000 0.2292



Most stable: *B*. Least stable: *A*.